No. 1
! GGA-PBE TlFeAu2, relaxed; values from VASP
&SYSTEM
  ibrav = 0, nat = 8, ntyp = 3
/
ATOMIC_SPECIES
Fe 55.84 Fe.upf
Au 196.97 Au.upf
Tl 204.38 Tl.upf
CELL_PARAMETERS angstrom
-0.172 -3.958 -0.004
3.325 -0.142 -2.148
7.061 -2.296 7.432
ATOMIC_POSITIONS crystal
Fe 0.500 0.500 0.000
Fe 0.250 0.750 0.500
Au 0.875 0.866 0.750
Au 0.375 0.384 0.750
Au 0.134 0.625 0.250
Au 0.616 0.125 0.250
Tl 0.750 0.250 0.500
Tl 0.000 0.000 0.000
! Symmetry: I-42d
! V in Å³ per cell: 158.9
! D(E_F) in states/eV/f.u.: 2.986
! ΔE_f in meV/atom: 413
! Crystal system: tetragonal



No. 2
! GGA-PBE Tl2Fe2Au, relaxed; values from VASP
&SYSTEM
  ibrav = 0, nat = 5, ntyp = 3
/
ATOMIC_SPECIES
Fe 55.84 Fe.upf
Tl 204.38 Tl.upf
Au 196.97 Au.upf
CELL_PARAMETERS angstrom
-3.417 2.278 -0.242
-1.723 -2.842 -2.425
-4.821 -3.135 3.608
ATOMIC_POSITIONS crystal
Fe 0.413 0.413 0.174
Fe 0.587 0.587 0.826
Tl 0.750 0.250 0.500
Tl 0.250 0.750 0.500
Au 0.000 0.000 0.000
! Symmetry: I4/mmm
! V in Å³ per cell: 103.8
! D(E_F) in states/eV/f.u.: 3.655
! ΔE_f in meV/atom: 763
! Crystal system: tetragonal



No. 3
! GGA-PBE TlFe2Au, relaxed; values from VASP
&SYSTEM
  ibrav = 0, nat = 4, ntyp = 3
/
ATOMIC_SPECIES
Fe 55.84 Fe.upf
Au 196.97 Au.upf
Tl 204.38 Tl.upf
CELL_PARAMETERS angstrom
-2.174 1.596 3.553
-2.575 -0.423 -1.385
-0.275 -4.686 1.936
ATOMIC_POSITIONS crystal
Fe 0.000 0.125 0.980
Fe 0.500 0.125 0.256
Au 0.500 0.625 0.808
Tl 0.000 0.625 0.455
! Symmetry: Pmm2
! V in Å³ per cell: 66.9
! D(E_F) in states/eV/f.u.: 3.170
! ΔE_f in meV/atom: 390
! Crystal system: orthorhombic



No. 4
! GGA-PBE TlFe2Au, relaxed; values from VASP
&SYSTEM
  ibrav = 0, nat = 4, ntyp = 3
/
ATOMIC_SPECIES
Fe 55.84 Fe.upf
Tl 204.38 Tl.upf
Au 196.97 Au.upf
CELL_PARAMETERS angstrom
3.122 0.000 0.000
0.000 3.124 0.000
0.000 0.000 6.950
ATOMIC_POSITIONS crystal
Fe 0.500 0.500 0.195
Fe 0.000 0.000 0.034
Tl 0.000 0.000 0.475
Au 0.500 0.500 0.795
! Symmetry: P4mm
! V in Å³ per cell: 67.8
! D(E_F) in states/eV/f.u.: 2.433
! ΔE_f in meV/atom: 287
! Crystal system: tetragonal



No. 5
! GGA-PBE TlFe2Au, relaxed; values from VASP
&SYSTEM
  ibrav = 0, nat = 4, ntyp = 3
/
ATOMIC_SPECIES
Fe 55.84 Fe.upf
Tl 204.38 Tl.upf
Au 196.97 Au.upf
CELL_PARAMETERS angstrom
-4.033 -2.118 -1.728
-1.678 -3.414 -3.044
-0.773 -4.483 3.035
ATOMIC_POSITIONS crystal
Fe 0.501 0.501 0.578
Fe 0.999 0.999 0.922
Tl 0.250 0.250 0.250
Au 0.750 0.750 0.750
! Symmetry: C2/m
! V in Å³ per cell: 72.6
! D(E_F) in states/eV/f.u.: 1.947
! ΔE_f in meV/atom: 427
! Crystal system: monoclinic



No. 6
! GGA-PBE TlFe4Au, relaxed; values from VASP
&SYSTEM
  ibrav = 0, nat = 6, ntyp = 3
/
ATOMIC_SPECIES
Au 196.97 Au.upf
Fe 55.84 Fe.upf
Tl 204.38 Tl.upf
CELL_PARAMETERS angstrom
0.000 3.537 3.537
3.537 0.000 3.537
3.537 3.537 0.000
ATOMIC_POSITIONS crystal
Au 0.000 0.000 0.000
Fe 0.625 0.126 0.625
Fe 0.625 0.625 0.625
Fe 0.625 0.625 0.126
Fe 0.126 0.625 0.625
Tl 0.250 0.250 0.250
! Symmetry: F-43m
! V in Å³ per cell: 88.5
! D(E_F) in states/eV/f.u.: 4.023
! ΔE_f in meV/atom: 309
! Crystal system: cubic



No. 7
! GGA-PBE TlFe2Au, relaxed; values from VASP
&SYSTEM
  ibrav = 0, nat = 4, ntyp = 3
/
ATOMIC_SPECIES
Tl 204.38 Tl.upf
Fe 55.84 Fe.upf
Au 196.97 Au.upf
CELL_PARAMETERS angstrom
-2.404 1.663 0.207
-1.555 -2.349 0.807
1.666 1.473 7.497
ATOMIC_POSITIONS crystal
Tl 0.500 0.500 0.250
Fe 0.000 0.000 0.982
Fe 0.000 0.000 0.518
Au 0.500 0.500 0.750
! Symmetry: P4/mmm
! V in Å³ per cell: 67.1
! D(E_F) in states/eV/f.u.: 3.552
! ΔE_f in meV/atom: 455
! Crystal system: tetragonal



No. 8
! GGA-PBE Tl2FeAu2, relaxed; values from VASP
&SYSTEM
  ibrav = 0, nat = 5, ntyp = 3
/
ATOMIC_SPECIES
Tl 204.38 Tl.upf
Fe 55.84 Fe.upf
Au 196.97 Au.upf
CELL_PARAMETERS angstrom
3.786 0.000 0.000
0.000 3.786 0.000
1.893 1.893 8.127
ATOMIC_POSITIONS crystal
Tl 0.596 0.596 0.808
Tl 0.404 0.404 0.192
Fe 0.000 0.000 0.000
Au 0.250 0.750 0.500
Au 0.750 0.250 0.500
! Symmetry: I4/mmm
! V in Å³ per cell: 116.5
! D(E_F) in states/eV/f.u.: 6.353
! ΔE_f in meV/atom: 471
! Crystal system: tetragonal